Record 1
## CdSbO3 (PBE)

Data for a geometry-optimized CdSbO3 structure.

Calculated values
energy relative to the elements, uncorrected: -0.94 eV/atom
space-group type: Pm-3m, No. 221

a b c (Å): 4.0395 4.0395 4.0395
angles (deg): 90.00 90.00 90.00
With the nearest neighbours (Å) after each atom.
Fractional positions:
1 Cd 0.0000 0.0000 0.0000  12 O 2.86
2 Sb 0.5000 0.5000 0.5000  6 O 2.02
3 O 0.0000 0.5000 0.5000  2 Sb 2.02
4 O 0.5000 0.0000 0.5000  2 Sb 2.02
5 O 0.5000 0.5000 0.0000  2 Sb 2.02

=====

Record 2
## Tb3PmZn4 (PBE)

Data for a geometry-optimized Tb3PmZn4 structure.

Calculated values
calculated formation energy: -0.33 eV per atom
space-group type: P4/mmm, No. 123

a b c (Å): 5.0743 5.0743 7.2500
angles (deg): 90.00 90.00 90.00
With the nearest neighbours (Å) after each atom.
Fractional positions:
1 Tb 0.0000 0.0000 0.0000  8 Zn 3.10
2 Tb 0.0000 0.0000 0.5000  8 Zn 3.14
3 Tb 0.5000 0.5000 0.0000  8 Zn 3.10
4 Pm 0.5000 0.5000 0.5000  8 Zn 3.14
5 Zn 0.0000 0.5000 0.2447  6 Tb 3.10-3.14, 2 Pm 3.14
6 Zn 0.0000 0.5000 0.7553  6 Tb 3.10-3.14, 2 Pm 3.14
7 Zn 0.5000 0.0000 0.2447  6 Tb 3.10-3.14, 2 Pm 3.14
8 Zn 0.5000 0.0000 0.7553  6 Tb 3.10-3.14, 2 Pm 3.14

=====

Record 3
## Ac6CoAg3 (PBE)

Data for a geometry-optimized Ac6CoAg3 structure.

Calculated values
calculated formation energy: -0.12 eV per atom
space-group type: P2_1/c, No. 14

a b c (Å): 7.7459 8.2466 12.8298
angles (deg): 90.00 120.22 90.00
With the nearest neighbours (Å) after each atom.
Fractional positions:
1 Ac 0.0822 0.0442 0.2427  1 Co 2.87
2 Ac 0.0822 0.4558 0.7427  1 Co 2.87
3 Ac 0.2157 0.6920 0.0728  1 Co 2.92, 1 Ag 3.21
4 Ac 0.2157 0.8080 0.5728  1 Co 2.92, 1 Ag 3.21
5 Ac 0.3603 0.1673 0.0601  1 Co 2.85, 1 Ag 3.18
6 Ac 0.3603 0.3327 0.5601  1 Co 2.85, 1 Ag 3.18
7 Ac 0.6397 0.6673 0.4399  1 Co 2.85, 1 Ag 3.18
8 Ac 0.6397 0.8327 0.9399  1 Co 2.85, 1 Ag 3.18
9 Ac 0.7843 0.1920 0.4272  1 Co 2.92, 1 Ag 3.21
10 Ac 0.7843 0.3080 0.9272  1 Co 2.92, 1 Ag 3.21
11 Ac 0.9178 0.5442 0.2573  1 Co 2.87
12 Ac 0.9178 0.9558 0.7573  1 Co 2.87
13 Co 0.0000 0.0000 0.0000  6 Ac 2.85-2.92
14 Co 0.0000 0.5000 0.5000  6 Ac 2.85-2.92
15 Ag 0.3247 0.1151 0.7708  7 Ac 3.28-3.61
16 Ag 0.3247 0.3849 0.2708  7 Ac 3.28-3.61
17 Ag 0.5000 0.0000 0.5000  6 Ac 3.18-3.28
18 Ag 0.5000 0.5000 0.0000  6 Ac 3.18-3.28
19 Ag 0.6753 0.6151 0.7292  7 Ac 3.28-3.61
20 Ag 0.6753 0.8849 0.2292  7 Ac 3.28-3.61

=====

Record 4
## Ca2GaSi (PBE)

Data for a geometry-optimized Ca2GaSi structure.

Calculated values
energy relative to the elements, uncorrected: 0.18 eV/atom
space-group type: I-42d, No. 122

a b c (Å): 4.8933 4.8933 19.5747
angles (deg): 90.00 90.00 90.00
With the nearest neighbours (Å) after each atom.
Fractional positions:
1 Ca 0.2410 0.2500 0.1250  2 Si 2.98, 2 Ga 3.01
2 Ca 0.2500 0.7410 0.3750  2 Si 2.98, 2 Ga 3.01
3 Ca 0.2500 0.7590 0.8750  2 Si 2.98, 2 Ga 3.01
4 Ca 0.2590 0.2500 0.6250  2 Si 2.98, 2 Ga 3.01
5 Ca 0.7410 0.7500 0.6250  2 Si 2.98, 2 Ga 3.01
6 Ca 0.7500 0.2410 0.8750  2 Si 2.98, 2 Ga 3.01
7 Ca 0.7500 0.2590 0.3750  2 Si 2.98, 2 Ga 3.01
8 Ca 0.7590 0.7500 0.1250  2 Si 2.98, 2 Ga 3.01
9 Ga 0.0000 0.0000 0.5000  4 Ca 3.01
10 Ga 0.0000 0.5000 0.7500  4 Ca 3.01
11 Ga 0.5000 0.0000 0.2500  4 Ca 3.01
12 Ga 0.5000 0.5000 0.0000  4 Ca 3.01
13 Si 0.0000 0.0000 0.0000  4 Ca 2.98
14 Si 0.0000 0.5000 0.2500  4 Ca 2.98
15 Si 0.5000 0.0000 0.7500  4 Ca 2.98
16 Si 0.5000 0.5000 0.5000  4 Ca 2.98